Entry 1:
SrHoZnCd after structural relaxation, computed with PBE.

Cell lengths 5.372, 5.372, 5.372 Å; angles 60.00, 60.00, 60.00 degrees
Sites, in units of the cell vectors:
Sr (0.000, 0.000, 0.000)
Zn (0.250, 0.250, 0.250)
Ho (0.500, 0.500, 0.500)
Cd (0.750, 0.750, 0.750)

Computed properties:
Formation energy: -0.210 eV per atom
Symmetry: F-43m


Entry 2:
TaHgI5 after structural relaxation, computed with PBE.

Cell lengths 9.704, 9.704, 9.697 Å; angles 72.50, 66.83, 107.84 degrees
Sites, in units of the cell vectors:
Ta (0.000, 0.000, 0.000)
Ta (0.500, 0.000, 0.500)
Hg (0.325, 0.575, 0.250)
Hg (0.675, 0.425, 0.750)
I (0.000, 0.763, 0.238)
I (0.803, 0.225, 0.423)
I (0.499, 0.762, 0.738)
I (0.654, 0.904, 0.250)
I (0.148, 0.226, 0.077)
I (0.852, 0.774, 0.923)
I (0.346, 0.096, 0.750)
I (0.501, 0.238, 0.262)
I (0.197, 0.775, 0.577)
I (0.000, 0.237, 0.762)

Computed properties:
Formation energy (no corrections): -0.301 eV per atom
Symmetry: C2/c


Calculated density across the listed records, respectively: 6.52; 4.82 g cm⁻³.
Total DFT energy (no corrections) across the listed records, respectively: -9.29; -44.02 eV per cell.